[1]
The following is a GGA-PBE calculation of BeNiAgB after structural relaxation, from OQMD.

Geometry as POSCAR:
```
BeNiAgB
1.0
0.000 2.795 2.795
2.795 0.000 2.795
2.795 2.795 0.000
Ni Ag Be B
1 1 1 1
Direct
0.750 0.750 0.750
0.500 0.500 0.500
0.250 0.250 0.250
0.000 0.000 0.000
```

Computed properties:
Theoretical density = 7.089 g cm⁻³
Magnetic moment = 0.00 μB/f.u.
ΔE to the lowest computed polymorph = 0 meV/atom
Raw total energy = -4.09 eV per atom



[2]
The following is a GGA-PBE calculation of La2AgIr after structural relaxation, from OQMD.

Geometry as POSCAR:
```
La2AgIr
1.0
-6.980 -2.622 1.219
2.542 -7.093 -0.700
1.395 -0.238 7.480
Ag La Ir
4 8 4
Direct
0.500 0.250 0.500
0.500 0.750 0.500
0.000 0.750 0.000
0.000 0.250 0.000
0.319 0.003 0.822
0.819 0.503 0.678
0.819 0.997 0.678
0.681 0.997 0.178
0.181 0.003 0.322
0.181 0.497 0.322
0.319 0.497 0.822
0.681 0.503 0.178
0.394 0.250 0.109
0.606 0.750 0.891
0.894 0.750 0.391
0.106 0.250 0.609
```

Computed properties:
Formation energy = -542 meV/atom
Theoretical density = 8.820 g cm⁻³
Magnetic moment = 0.00 μB/f.u.
ΔE to the lowest computed polymorph = 0 meV/atom
Raw total energy = -5.92 eV per atom



[3]
The following is a GGA-PBE calculation of Ta3Co after structural relaxation, from OQMD.

Geometry as POSCAR:
```
Ta3Co
1.0
-2.883 2.828 0.079
-1.811 -1.759 -3.153
-2.173 -2.286 2.524
Ta Co
3 1
Direct
0.500 0.000 0.500
0.000 0.500 0.500
0.500 0.500 0.000
0.000 0.000 0.000
```

Computed properties:
Formation energy = 160 meV/atom
Theoretical density = 15.163 g cm⁻³
Magnetic moment = 0.03 μB/f.u.
Raw total energy = -10.51 eV per atom